Entry from Alexandria: a relaxed Cs2TePbBr6 crystal (GGA-PBE).

Summary:
The density of states at the Fermi level comes out at 0.000 states/eV per cell. For the final energy, the calculation gives -2.88 eV per atom.

Cell and atoms, written as CIF:
```
data_Cs2TePbBr6
_chemical_formula_sum 'Cs4 Te2 Pb2 Br12'
_cell_length_a 8.1108
_cell_length_b 8.1108
_cell_length_c 13.7588
_cell_angle_alpha 90.00
_cell_angle_beta 90.00
_cell_angle_gamma 90.00
_space_group_name_H-M_alt 'I 4/m m m'
_space_group_IT_number 139
_space_group_name_Hall '-I 4 2'
loop_
_atom_site_label
_atom_site_type_symbol
_atom_site_fract_x
_atom_site_fract_y
_atom_site_fract_z
Cs1 Cs 0.0000 0.5000 0.2500
Te1 Te 0.0000 0.0000 0.0000
Pb1 Pb 0.0000 0.0000 0.5000
Br1 Br 0.0000 0.0000 0.2850
Br2 Br 0.2397 0.2397 0.0000
```